## Lu2FeO (PBE with a Hubbard U)

Data for a relaxed Lu2FeO crystal.

```
data_Lu2FeO
_symmetry_space_group_name_H-M 'R -3 m'
_symmetry_Int_Tables_number 166
_symmetry_space_group_name_Hall '-R 3 2"'
_cell_length_a 3.2365
_cell_length_b 3.2365
_cell_length_c 25.6395
_cell_angle_alpha 90.00
_cell_angle_beta 90.00
_cell_angle_gamma 120.00
loop_
_atom_site_label
_atom_site_type_symbol
_atom_site_fract_x
_atom_site_fract_y
_atom_site_fract_z
Lu1 Lu 0.0000 0.0000 0.1121
Fe1 Fe 0.0000 0.0000 0.0000
O1 O 0.0000 0.0000 0.5000
```

## Properties
- DOS at the Fermi energy (states/eV per atom) = 0.4729
- total energy (eV/atom) = -5.755